VASP calculation (PBE) on Sr3GaAs4 after structural relaxation.

Cell and atoms, written as POSCAR:
```
Sr3GaAs4
1.0
8.6692 0.0000 0.0000
0.0000 10.5712 0.0000
0.0000 0.0000 9.9077
Sr Ga As
12 4 16
direct
0.0371 0.0549 0.1844
0.0371 0.4451 0.1844
0.1527 0.7500 0.4134
0.3473 0.2500 0.9134
0.4629 0.5549 0.6844
0.4629 0.9451 0.6844
0.5371 0.0549 0.3156
0.5371 0.4451 0.3156
0.6527 0.7500 0.0866
0.8473 0.2500 0.5866
0.9629 0.5549 0.8156
0.9629 0.9451 0.8156
0.2418 0.2500 0.4695
0.2582 0.7500 0.9695
0.7418 0.2500 0.0305
0.7582 0.7500 0.5305
0.0204 0.7500 0.1069
0.1333 0.0330 0.5311
0.1333 0.4670 0.5311
0.2060 0.7500 0.7258
0.2940 0.2500 0.2258
0.3667 0.5330 0.0311
0.3667 0.9670 0.0311
0.4796 0.2500 0.6069
0.5204 0.7500 0.3931
0.6333 0.0330 0.9689
0.6333 0.4670 0.9689
0.7060 0.7500 0.7742
0.7940 0.2500 0.2742
0.8667 0.5330 0.4689
0.8667 0.9670 0.4689
0.9796 0.2500 0.8931
```

Output
The space group is Pnma, No. 62. The value obtained for the density of states at the Fermi level is 0.59 states/eV/atom. The calculated formation energy comes out at -0.824 eV per atom.